No. 1
# LiSc2SiH (PBE, relaxed)
# - VASP energy (eV for the cell shown) = -25.807
data_LiSc2SiH
_space_group_name_H-M_alt 'P 4/m m m'
_space_group_IT_number 123
_space_group_name_Hall '-P 4 2'
_cell_length_a 4.3795
_cell_length_b 4.3795
_cell_length_c 3.7520
_cell_angle_alpha 90.00
_cell_angle_beta 90.00
_cell_angle_gamma 90.00
loop_
_atom_site_label
_atom_site_type_symbol
_atom_site_fract_x
_atom_site_fract_y
_atom_site_fract_z
Li1 Li 0.0000 0.0000 0.0000
Sc1 Sc 0.0000 0.5000 0.5000
Si1 Si 0.5000 0.5000 0.0000
H1 H 0.0000 0.0000 0.5000

No. 2
# Nd2Ag (PBE, relaxed)
# - energy of formation (eV/atom) = -0.1570
# - VASP energy (eV for the cell shown) = -25.716
data_Nd2Ag
_space_group_name_H-M_alt 'P 4/m m m'
_space_group_IT_number 123
_space_group_name_Hall '-P 4 2'
_cell_length_a 3.7365
_cell_length_b 3.7365
_cell_length_c 12.7121
_cell_angle_alpha 90.00
_cell_angle_beta 90.00
_cell_angle_gamma 90.00
loop_
_atom_site_label
_atom_site_type_symbol
_atom_site_fract_x
_atom_site_fract_y
_atom_site_fract_z
Nd1 Nd 0.0000 0.0000 0.0000
Nd2 Nd 0.0000 0.0000 0.2974
Nd3 Nd 0.5000 0.5000 0.5000
Ag1 Ag 0.5000 0.5000 0.1498

No. 3
# RbGaBr2 (PBE, relaxed)
# - VASP energy (eV for the cell shown) = -47.025
# - formation energy without anion corrections (kcal/mol of atoms) = -25.46
data_RbGaBr2
_space_group_name_H-M_alt 'P n m a'
_space_group_IT_number 62
_cell_length_a 9.9327
_cell_length_b 7.5923
_cell_length_c 8.1744
_cell_angle_alpha 90.00
_cell_angle_beta 90.00
_cell_angle_gamma 90.00
loop_
_space_group_symop_operation_xyz
'x,y,z'
'-x,-y,-z'
'-x+1/2,-y,z+1/2'
'x+1/2,y,-z+1/2'
'x+1/2,-y+1/2,-z+1/2'
'-x+1/2,y+1/2,z+1/2'
'-x,y+1/2,-z'
'x,-y+1/2,z'
loop_
_atom_site_label
_atom_site_type_symbol
_atom_site_fract_x
_atom_site_fract_y
_atom_site_fract_z
Rb1 Rb 0.1742 0.2500 0.1641
Ga1 Ga 0.1192 0.2500 0.7012
Br1 Br 0.0000 0.0000 0.5000
Br2 Br 0.1409 0.7500 0.0175

No. 4
# CaSc2CuC (PBE, relaxed)
# - energy of formation (eV/atom) = -0.0966
# - VASP energy (eV for the cell shown) = -28.468
data_CaSc2CuC
_space_group_name_H-M_alt 'P 4/m m m'
_space_group_IT_number 123
_space_group_name_Hall '-P 4 2'
_cell_length_a 4.4486
_cell_length_b 4.4486
_cell_length_c 5.0638
_cell_angle_alpha 90.00
_cell_angle_beta 90.00
_cell_angle_gamma 90.00
loop_
_atom_site_label
_atom_site_type_symbol
_atom_site_fract_x
_atom_site_fract_y
_atom_site_fract_z
Ca1 Ca 0.0000 0.0000 0.0000
Sc1 Sc 0.0000 0.5000 0.5000
Cu1 Cu 0.5000 0.5000 0.0000
C1 C 0.0000 0.0000 0.5000

No. 5
# NaVSi2B (PBE, relaxed)
# - VASP energy (eV for the cell shown) = -22.874
# - formation energy without anion corrections (kcal/mol of atoms) = 23.46
data_NaVSi2B
_space_group_name_H-M_alt 'P 4/m m m'
_space_group_IT_number 123
_space_group_name_Hall '-P 4 2'
_cell_length_a 4.1020
_cell_length_b 4.1020
_cell_length_c 4.4287
_cell_angle_alpha 90.00
_cell_angle_beta 90.00
_cell_angle_gamma 90.00
loop_
_atom_site_label
_atom_site_type_symbol
_atom_site_fract_x
_atom_site_fract_y
_atom_site_fract_z
Na1 Na 0.0000 0.0000 0.0000
V1 V 0.5000 0.5000 0.0000
Si1 Si 0.0000 0.5000 0.5000
B1 B 0.0000 0.0000 0.5000

No. 6
# Tl4NiRu (PBE, relaxed)
# - energy of formation (eV/atom) = 1.1932
# - VASP energy (eV for the cell shown) = -69.452
data_Tl4NiRu
_space_group_name_H-M_alt 'F -4 3 m'
_space_group_IT_number 216
_space_group_name_Hall 'F -4 2 3'
_cell_length_a 8.5595
_cell_length_b 8.5595
_cell_length_c 8.5595
_cell_angle_alpha 90.00
_cell_angle_beta 90.00
_cell_angle_gamma 90.00
loop_
_atom_site_label
_atom_site_type_symbol
_atom_site_fract_x
_atom_site_fract_y
_atom_site_fract_z
Tl1 Tl 0.1250 0.1250 0.1250
Ni1 Ni 0.2500 0.2500 0.7500
Ru1 Ru 0.0000 0.0000 0.5000

No. 7
# Pm2Tl3GeTe6 (PBE, relaxed)
# - VASP energy (eV for the cell shown) = -97.716
# - formation energy without anion corrections (kcal/mol of atoms) = -16.89
data_Pm2Tl3GeTe6
_space_group_name_H-M_alt 'C 1 2/m 1'
_space_group_IT_number 12
_cell_length_a 7.8281
_cell_length_b 13.5627
_cell_length_c 8.2838
_cell_angle_alpha 90.00
_cell_angle_beta 108.40
_cell_angle_gamma 90.00
loop_
_space_group_symop_operation_xyz
'x,y,z'
'-x,-y,-z'
'-x,y,-z'
'x,-y,z'
'x+1/2,y+1/2,z'
'-x+1/2,-y+1/2,-z'
'-x+1/2,y+1/2,-z'
'x+1/2,-y+1/2,z'
loop_
_atom_site_label
_atom_site_type_symbol
_atom_site_fract_x
_atom_site_fract_y
_atom_site_fract_z
Pm1 Pm 0.0000 0.1647 0.0000
Tl1 Tl 0.0000 0.0000 0.5000
Tl2 Tl 0.0000 0.3275 0.5000
Ge1 Ge 0.0000 0.5000 0.0000
Te1 Te 0.2322 0.3383 0.2150
Te2 Te 0.2491 0.5000 0.7809

No. 8
# TcBr (PBE, relaxed)
# - VASP energy (eV for the cell shown) = -9.973
# - formation energy without anion corrections (kcal/mol of atoms) = 23.82
data_TcBr
_space_group_name_H-M_alt 'P -6 m 2'
_space_group_IT_number 187
_space_group_name_Hall 'P -6 2'
_cell_length_a 3.0885
_cell_length_b 3.0885
_cell_length_c 4.1844
_cell_angle_alpha 90.00
_cell_angle_beta 90.00
_cell_angle_gamma 120.00
loop_
_atom_site_label
_atom_site_type_symbol
_atom_site_fract_x
_atom_site_fract_y
_atom_site_fract_z
Tc1 Tc 0.0000 0.0000 0.0000
Br1 Br 0.3333 0.6667 0.5000

No. 9
# YCuOs (PBE, relaxed)
# - energy of formation (eV/atom) = 0.6370
# - VASP energy (eV for the cell shown) = -19.879
data_YCuOs
_space_group_name_H-M_alt 'P 3 m 1'
_space_group_IT_number 156
_cell_length_a 2.9078
_cell_length_b 2.9078
_cell_length_c 7.1314
_cell_angle_alpha 90.00
_cell_angle_beta 90.00
_cell_angle_gamma 120.00
loop_
_space_group_symop_operation_xyz
'x,y,z'
'-y,x-y,z'
'-x+y,-x,z'
'-y,-x,z'
'-x+y,y,z'
'x,x-y,z'
loop_
_atom_site_label
_atom_site_type_symbol
_atom_site_fract_x
_atom_site_fract_y
_atom_site_fract_z
Y1 Y 0.0000 0.0000 0.0000
Cu1 Cu 0.6667 0.3333 0.3586
Os1 Os 0.3333 0.6667 0.6474

No. 10
# HoAlSn (PBE, relaxed)
# - energy of formation (eV/atom) = -0.1606
# - VASP energy (eV for the cell shown) = -25.610
data_HoAlSn
_space_group_name_H-M_alt 'I 4 m m'
_space_group_IT_number 107
_space_group_name_Hall 'I 4 -2'
_cell_length_a 4.1810
_cell_length_b 4.1810
_cell_length_c 8.7291
_cell_angle_alpha 90.00
_cell_angle_beta 90.00
_cell_angle_gamma 90.00
loop_
_atom_site_label
_atom_site_type_symbol
_atom_site_fract_x
_atom_site_fract_y
_atom_site_fract_z
Ho1 Ho 0.0000 0.0000 0.0000
Al1 Al 0.0000 0.0000 0.6578
Sn1 Sn 0.0000 0.0000 0.3454

No. 11
# AlCr2Br (PBE, relaxed)
# - VASP energy (eV for the cell shown) = -86.955
# - formation energy without anion corrections (kcal/mol of atoms) = 16.85
data_AlCr2Br
_space_group_name_H-M_alt 'F -4 3 m'
_space_group_IT_number 216
_space_group_name_Hall 'F -4 2 3'
_cell_length_a 6.5951
_cell_length_b 6.5951
_cell_length_c 6.5951
_cell_angle_alpha 90.00
_cell_angle_beta 90.00
_cell_angle_gamma 90.00
loop_
_atom_site_label
_atom_site_type_symbol
_atom_site_fract_x
_atom_site_fract_y
_atom_site_fract_z
Al1 Al 0.0000 0.0000 0.0000
Cr1 Cr 0.0000 0.0000 0.5000
Cr2 Cr 0.2500 0.2500 0.2500
Br1 Br 0.2500 0.2500 0.7500

No. 12
# Ba3Sr5Cl12 (PBE, relaxed)
# - VASP energy (eV for the cell shown) = -622.184
# - formation energy without anion corrections (kcal/mol of atoms) = -47.78
data_Ba3Sr5Cl12
_space_group_name_H-M_alt 'I a -3 d'
_space_group_IT_number 230
_space_group_name_Hall '-I 4bd 2c 3'
_cell_length_a 18.1953
_cell_length_b 18.1953
_cell_length_c 18.1953
_cell_angle_alpha 90.00
_cell_angle_beta 90.00
_cell_angle_gamma 90.00
loop_
_atom_site_label
_atom_site_type_symbol
_atom_site_fract_x
_atom_site_fract_y
_atom_site_fract_z
Ba1 Ba 0.0000 0.2500 0.1250
Sr1 Sr 0.0000 0.0000 0.0000
Sr2 Sr 0.0000 0.2500 0.3750
Cl1 Cl 0.0085 0.0547 0.6552

Look up the VASP energy of the fourth one.
-28.468 eV for the cell shown